This record from Alexandria describes a geometry-optimized CsU2Pt2Se6 structure. The functional is PBE-GGA.

extended XYZ file:
```
11
Lattice="7.0770 0.0000 0.0000 -3.3872 6.5484 0.0000 -0.2961 -3.9698 6.8430" Properties=species:S:1:pos:R:3 pbc="T T T"
Cs 0.0000 0.0000 0.0000
U 1.3045 -0.5881 4.5587
U 2.0891 3.1667 2.2843
Pt -0.6730 4.3897 2.2140
Pt 4.0666 -1.8112 4.6291
Se -2.4091 3.3091 3.6118
Se 0.2018 3.4687 0.1330
Se 2.5276 0.3824 2.2626
Se 0.8660 2.1961 4.5804
Se 3.1918 -0.8901 6.7100
Se 5.8027 -0.7305 3.2313
```

Values from the calculation:
DOS at the Fermi energy in states/eV/cell: 9.9
E_form (uncorrected) in meV/atom: -726